Al2ZnSe | PBE | optimized geometry

Properties
The mass density comes out at 4.4 g/cm3. The crystal system is orthorhombic. For the calculated total energy, the calculation gives -12.2 eV per cell. The value obtained for the formation energy from raw total energies is 10 meV/atom.

Structure (POSCAR):
```
Al2ZnSe
1.0
-4.564 -3.502 0.913
-0.606 -3.408 4.685
0.934 5.433 -1.882
Zn Al Se
1 2 1
Direct
0.272 0.772 0.500
0.956 0.956 0.000
0.733 0.233 0.500
0.540 0.540 0.000
```